No. 1
Compound: ZnFeP2Cl
Source: Alexandria via LeMat-Bulk
Functional: GGA-PBEsol
Structure: relaxed

Results
* uncorrected formation energy: 1.032 eV per atom

Geometry as POSCAR:
```
ZnFeP2Cl
1.0
4.508 0.000 0.000
0.000 4.508 0.000
0.000 0.000 4.820
Zn Fe P Cl
1 1 2 1
Direct
0.000 0.000 0.000
0.500 0.500 0.500
0.000 0.500 0.000
0.500 0.000 0.000
0.000 0.000 0.500
```

No. 2
Compound: Pb2Au
Source: Alexandria via LeMat-Bulk
Functional: GGA-PBEsol
Structure: relaxed

Results
* energy of formation from the pure elements: -0.03 eV per atom

Geometry as POSCAR:
```
Pb2Au
1.0
3.398 0.000 0.000
0.000 3.398 0.000
0.000 0.000 12.952
Pb Au
4 2
Direct
0.000 0.000 0.145
0.000 0.000 0.855
0.500 0.500 0.355
0.500 0.500 0.645
0.000 0.000 0.500
0.500 0.500 0.000
```

Number 1: total DFT energy (no corrections) -3.795 eV/atom. Number 2: total DFT energy (no corrections) -4.002 eV/atom.